Entry 1:
# HfSn2HgSe

HfSn2HgSe after structural relaxation (PBE-GGA, the Alexandria database).

extended XYZ file:
```
5
Lattice="-1.061 -5.340 -0.205 3.845 -0.643 -3.155 3.333 -0.825 4.230" Properties=species:S:1:pos:R:3 pbc="T T T"
Hg 1.923 -0.322 -1.577
Se 0.000 0.000 0.000
Sn 1.666 -0.412 2.115
Sn -0.531 -2.670 -0.102
Hf 3.059 -3.404 0.435
```

Results
For the total magnetic moment, the calculation gives 0.00 μB per formula unit. The calculation puts the raw formation energy at 3.821 eV/f.u.

=====

Entry 2:
# SrHf2HgSe

SrHf2HgSe after structural relaxation (PBE-GGA, the Alexandria database).

extended XYZ file:
```
5
Lattice="-0.644 -5.234 -0.201 1.750 -0.433 5.664 -5.002 0.554 1.587" Properties=species:S:1:pos:R:3 pbc="T T T"
Sr -1.948 -2.556 3.525
Hg 0.000 0.000 0.000
Se 0.875 -0.217 2.832
Hf -0.322 -2.617 -0.101
Hf -2.501 0.277 0.794
```

Results
For the total magnetic moment, the calculation gives 1.92 μB per formula unit. The calculation puts the raw formation energy at 3.910 eV/f.u.

=====

Entry 3:
# HfTl2HgSe4

HfTl2HgSe4 after structural relaxation (PBE-GGA, the Alexandria database).

extended XYZ file:
```
8
Lattice="-3.074 1.264 2.194 3.136 -3.604 6.473 4.489 4.724 3.568" Properties=species:S:1:pos:R:3 pbc="T T T"
Tl 0.707 2.994 2.881
Tl 4.489 4.724 3.568
Se 2.022 -0.514 6.745
Se 5.514 1.068 7.112
Se 2.529 2.898 5.490
Se -0.963 1.316 5.123
Hf 3.813 0.560 5.021
Hg 0.031 -1.170 4.333
```

Results
For the total magnetic moment, the calculation gives 0.00 μB per formula unit. The calculation puts the raw formation energy at -5.196 eV/f.u.

=====

> Which of these has the highest raw formation energy?

SrHf2HgSe